# 1
This record from Alexandria describes a geometry-optimized MgTiBr4 structure. The functional is PBE.

abc: 6.781 3.789 7.092
angles: 90.00 94.63 90.00
Atoms (fractional coordinates):
Mg  0.000  0.000  0.000
Ti  0.500  0.500  0.000
Br  0.187  0.500  0.214
Br  0.314  0.000  0.784
Br  0.686  0.000  0.216
Br  0.813  0.500  0.786

Calculated values
The space group is P2/m (10). Its magnetization is 2.0 μB per cell. Its formation energy without anion corrections is -1247 meV per atom.


# 2
This record from Alexandria describes a geometry-optimized MgTl2Br structure. The functional is PBE.

abc: 8.150 8.150 8.150
angles: 155.63 146.94 41.49
Atoms (fractional coordinates):
Mg  0.000  0.000  0.000
Tl  0.184  0.684  0.500
Tl  0.816  0.316  0.500
Br  0.500  0.500  0.000

Calculated values
The value obtained for the energy above the most stable polymorph in this dataset is 47 kJ/mol of formula units. The space group is Immm (71). Its magnetization is 0.0 μB per cell. Its formation energy without anion corrections is -262 meV per atom.


# 3
This record from Alexandria describes a geometry-optimized MgTl2Br structure. The functional is PBE.

abc: 9.981 9.981 9.981
angles: 22.06 22.06 22.06
Atoms (fractional coordinates):
Mg  0.000  0.000  0.000
Tl  0.248  0.248  0.248
Tl  0.752  0.752  0.752
Br  0.500  0.500  0.500

Calculated values
The value obtained for the energy above the most stable polymorph in this dataset is 66 kJ/mol of formula units. The space group is R-3m (166). Its magnetization is 0.0 μB per cell. Its formation energy without anion corrections is -212 meV per atom.


# 4
This record from Alexandria describes a geometry-optimized MgTl2Br structure. The functional is PBE.

abc: 3.709 5.063 6.447
angles: 90.00 106.66 90.00
Atoms (fractional coordinates):
Mg  0.000  0.000  0.000
Tl  0.253  0.000  0.523
Tl  0.625  0.500  0.264
Br  0.889  0.500  0.804

Calculated values
The value obtained for the energy above the most stable polymorph in this dataset is 41 kJ/mol of formula units. The space group is Pm (6). Its magnetization is 0.0 μB per cell. Its formation energy without anion corrections is -278 meV per atom.


# 5
This record from Alexandria describes a geometry-optimized MgTl2Br structure. The functional is PBE.

abc: 7.025 7.025 7.025
angles: 102.23 102.23 125.20
Atoms (fractional coordinates):
Mg  0.000  0.000  0.000
Mg  0.750  0.250  0.500
Tl  0.101  0.625  0.976
Tl  0.375  0.351  0.476
Tl  0.649  0.125  0.024
Tl  0.875  0.899  0.524
Br  0.250  0.750  0.500
Br  0.500  0.500  0.000

Calculated values
The value obtained for the energy above the most stable polymorph in this dataset is 89 kJ/mol of formula units. The space group is I-42d (122). Its magnetization is 0.0 μB per cell. Its formation energy without anion corrections is -152 meV per atom.


# 6
This record from Alexandria describes a geometry-optimized MgTl2Br structure. The functional is PBE.

abc: 6.471 6.471 6.096
angles: 117.84 117.84 31.87
Atoms (fractional coordinates):
Mg  0.000  0.000  0.000
Tl  0.520  0.520  0.521
Tl  0.739  0.739  0.239
Br  0.317  0.317  0.816

Calculated values
The value obtained for the energy above the most stable polymorph in this dataset is 23 kJ/mol of formula units. The space group is Cm (8). Its magnetization is 0.0 μB per cell. Its formation energy without anion corrections is -323 meV per atom.


# 7
This record from Alexandria describes a geometry-optimized MgTl2Br structure. The functional is PBE.

abc: 5.593 5.593 5.593
angles: 60.00 60.00 60.00
Atoms (fractional coordinates):
Mg  0.000  0.000  0.000
Tl  0.250  0.250  0.250
Tl  0.750  0.750  0.750
Br  0.500  0.500  0.500

Calculated values
The value obtained for the energy above the most stable polymorph in this dataset is 105 kJ/mol of formula units. The space group is Fm-3m (225). Its magnetization is 0.0 μB per cell. Its formation energy without anion corrections is -112 meV per atom.


# 8
This record from Alexandria describes a geometry-optimized MgTl2Br8 structure. The functional is PBE.

abc: 10.600 10.600 13.262
angles: 126.33 126.33 50.43
Atoms (fractional coordinates):
Mg  0.006  0.994  0.750
Mg  0.994  0.006  0.250
Tl  0.163  0.665  0.966
Tl  0.335  0.837  0.534
Tl  0.665  0.163  0.466
Tl  0.837  0.335  0.034
Br  0.122  0.718  0.294
Br  0.150  0.152  0.011
Br  0.151  0.678  0.766
Br  0.152  0.150  0.511
Br  0.282  0.878  0.206
Br  0.322  0.849  0.734
Br  0.329  0.345  0.943
Br  0.345  0.329  0.443
Br  0.655  0.671  0.557
Br  0.671  0.655  0.057
Br  0.678  0.151  0.266
Br  0.718  0.122  0.794
Br  0.848  0.850  0.489
Br  0.849  0.322  0.234
Br  0.850  0.848  0.989
Br  0.878  0.282  0.706

Calculated values
The space group is C2/c (15). Its magnetization is 0.0 μB per cell. Its formation energy without anion corrections is -722 meV per atom.


# 9
This record from Alexandria describes a geometry-optimized MgTl3Br structure. The functional is PBE.

abc: 5.652 5.652 5.652
angles: 90.00 90.00 90.00
Atoms (fractional coordinates):
Mg  0.000  0.000  0.000
Tl  0.000  0.000  0.500
Tl  0.000  0.500  0.000
Tl  0.500  0.000  0.000
Br  0.500  0.500  0.500

Calculated values
The value obtained for the energy above the most stable polymorph in this dataset is 0 kJ/mol of formula units. The space group is Pm-3m (221). Its magnetization is 0.0 μB per cell. Its formation energy without anion corrections is -19 meV per atom.


# 10
This record from Alexandria describes a geometry-optimized MgTl2Br structure. The functional is PBE.

abc: 3.563 5.472 5.927
angles: 90.00 90.00 90.00
Atoms (fractional coordinates):
Mg  0.000  0.000  0.000
Tl  0.000  0.500  0.500
Tl  0.500  0.500  0.000
Br  0.500  0.000  0.500

Calculated values
The value obtained for the energy above the most stable polymorph in this dataset is 54 kJ/mol of formula units. The space group is Pmmm (47). Its magnetization is 0.0 μB per cell. Its formation energy without anion corrections is -243 meV per atom.


# 11
This record from Alexandria describes a geometry-optimized MgTl2Br structure. The functional is PBE.

abc: 5.693 5.693 3.608
angles: 90.00 90.00 90.61
Atoms (fractional coordinates):
Mg  0.000  0.000  0.000
Tl  0.000  0.500  0.500
Tl  0.500  0.000  0.500
Br  0.500  0.500  0.000

Calculated values
The value obtained for the energy above the most stable polymorph in this dataset is 54 kJ/mol of formula units. The space group is Cmmm (65). Its magnetization is 0.0 μB per cell. Its formation energy without anion corrections is -244 meV per atom.


# 12
This record from Alexandria describes a geometry-optimized MgTl2Br structure. The functional is PBE.

abc: 4.281 4.281 6.595
angles: 90.00 90.00 90.00
Atoms (fractional coordinates):
Mg  0.000  0.000  0.000
Tl  0.500  0.500  0.247
Tl  0.500  0.500  0.753
Br  0.000  0.000  0.500

Calculated values
The value obtained for the energy above the most stable polymorph in this dataset is 59 kJ/mol of formula units. The space group is P4/mmm (123). Its magnetization is 0.0 μB per cell. Its formation energy without anion corrections is -230 meV per atom.


# 13
This record from Alexandria describes a geometry-optimized MgTl2Br structure. The functional is PBE.

abc: 3.467 3.467 9.677
angles: 90.00 90.00 90.00
Atoms (fractional coordinates):
Mg  0.000  0.000  0.000
Tl  0.000  0.000  0.493
Tl  0.500  0.500  0.228
Br  0.500  0.500  0.839

Calculated values
The value obtained for the energy above the most stable polymorph in this dataset is 6 kJ/mol of formula units. The space group is P4mm (99). Its magnetization is 0.0 μB per cell. Its formation energy without anion corrections is -368 meV per atom.


# 14
This record from Alexandria describes a geometry-optimized Mg2Tl3Br7 structure. The functional is PBE.

abc: 13.869 13.869 5.281
angles: 90.00 90.00 157.70
Atoms (fractional coordinates):
Mg  0.102  0.898  0.000
Mg  0.898  0.102  0.000
Tl  0.321  0.679  0.500
Tl  0.500  0.500  0.500
Tl  0.679  0.321  0.500
Br  0.000  0.000  0.000
Br  0.096  0.904  0.500
Br  0.196  0.804  0.000
Br  0.405  0.595  0.000
Br  0.595  0.405  0.000
Br  0.804  0.196  0.000
Br  0.904  0.096  0.500

Calculated values
The space group is Cmmm (65). Its magnetization is 0.0 μB per cell. Its formation energy without anion corrections is -1111 meV per atom.


# 15
This record from Alexandria describes a geometry-optimized MgTlBr5 structure. The functional is PBE.

abc: 7.567 7.567 10.159
angles: 109.10 109.10 91.97
Atoms (fractional coordinates):
Mg  0.000  0.000  0.000
Mg  0.000  0.000  0.500
Tl  0.368  0.632  0.750
Tl  0.632  0.368  0.250
Br  0.059  0.941  0.250
Br  0.232  0.730  0.514
Br  0.255  0.329  0.148
Br  0.270  0.768  0.986
Br  0.329  0.255  0.648
Br  0.671  0.745  0.352
Br  0.730  0.232  0.014
Br  0.745  0.671  0.852
Br  0.768  0.270  0.486
Br  0.941  0.059  0.750

Calculated values
The space group is C2/c (15). Its magnetization is 0.0 μB per cell. Its formation energy without anion corrections is -832 meV per atom.


# 16
This record from Alexandria describes a geometry-optimized MgTl2Br structure. The functional is PBE.

abc: 3.561 3.561 10.207
angles: 90.00 90.00 113.80
Atoms (fractional coordinates):
Mg  0.000  0.000  0.000
Tl  0.000  0.000  0.506
Tl  0.500  0.500  0.235
Br  0.500  0.500  0.829

Calculated values
The value obtained for the energy above the most stable polymorph in this dataset is 0 kJ/mol of formula units. The space group is Cmm2 (35). Its magnetization is 0.0 μB per cell. Its formation energy without anion corrections is -383 meV per atom.


# 17
This record from Alexandria describes a geometry-optimized Mg5Tl3Br12 structure. The functional is PBE.

abc: 15.152 15.152 15.152
angles: 109.47 109.47 109.47
Atoms (fractional coordinates):
Mg  0.000  0.000  0.000
Mg  0.000  0.000  0.500
Mg  0.000  0.500  0.000
Mg  0.000  0.500  0.500
Mg  0.125  0.750  0.875
Mg  0.125  0.875  0.250
Mg  0.250  0.125  0.875
Mg  0.250  0.625  0.375
Mg  0.375  0.250  0.625
Mg  0.375  0.625  0.750
Mg  0.500  0.000  0.000
Mg  0.500  0.000  0.500
Mg  0.500  0.500  0.000
Mg  0.500  0.500  0.500
Mg  0.625  0.375  0.250
Mg  0.625  0.750  0.375
Mg  0.750  0.375  0.625
Mg  0.750  0.875  0.125
Mg  0.875  0.125  0.750
Mg  0.875  0.250  0.125
Tl  0.125  0.250  0.375
Tl  0.125  0.375  0.750
Tl  0.250  0.375  0.125
Tl  0.250  0.875  0.625
Tl  0.375  0.125  0.250
Tl  0.375  0.750  0.125
Tl  0.625  0.250  0.875
Tl  0.625  0.875  0.750
Tl  0.750  0.125  0.375
Tl  0.750  0.625  0.875
Tl  0.875  0.625  0.250
Tl  0.875  0.750  0.625
Br  0.016  0.197  0.111
Br  0.016  0.319  0.905
Br  0.086  0.697  0.681
Br  0.086  0.889  0.405
Br  0.095  0.611  0.414
Br  0.095  0.984  0.681
Br  0.111  0.016  0.197
Br  0.111  0.595  0.914
Br  0.181  0.197  0.586
Br  0.181  0.484  0.595
Br  0.197  0.111  0.016
Br  0.197  0.586  0.181
Br  0.303  0.319  0.914
Br  0.303  0.484  0.389
Br  0.319  0.905  0.016
Br  0.319  0.914  0.303
Br  0.389  0.303  0.484
Br  0.389  0.586  0.905
Br  0.405  0.086  0.889
Br  0.405  0.819  0.516
Br  0.414  0.095  0.611
Br  0.414  0.819  0.803
Br  0.484  0.389  0.303
Br  0.484  0.595  0.181
Br  0.516  0.405  0.819
Br  0.516  0.611  0.697
Br  0.586  0.181  0.197
Br  0.586  0.905  0.389
Br  0.595  0.181  0.484
Br  0.595  0.914  0.111
Br  0.611  0.414  0.095
Br  0.611  0.697  0.516
Br  0.681  0.086  0.697
Br  0.681  0.095  0.984
Br  0.697  0.516  0.611
Br  0.697  0.681  0.086
Br  0.803  0.414  0.819
Br  0.803  0.889  0.984
Br  0.819  0.516  0.405
Br  0.819  0.803  0.414
Br  0.889  0.405  0.086
Br  0.889  0.984  0.803
Br  0.905  0.016  0.319
Br  0.905  0.389  0.586
Br  0.914  0.111  0.595
Br  0.914  0.303  0.319
Br  0.984  0.681  0.095
Br  0.984  0.803  0.889

Calculated values
The space group is Ia-3d (230). Its magnetization is 0.0 μB per cell. Its formation energy without anion corrections is -1166 meV per atom.


# 18
This record from Alexandria describes a geometry-optimized Mg4TlBr structure. The functional is PBE.

abc: 6.012 6.012 6.012
angles: 60.00 60.00 60.00
Atoms (fractional coordinates):
Mg  0.124  0.124  0.124
Mg  0.124  0.124  0.628
Mg  0.124  0.628  0.124
Mg  0.628  0.124  0.124
Tl  0.750  0.750  0.750
Br  0.500  0.500  0.500

Calculated values
The space group is F-43m (216). Its magnetization is 0.0 μB per cell. Its formation energy without anion corrections is -23 meV per atom.


# 19
This record from Alexandria describes a geometry-optimized MgTl2Br structure. The functional is PBE.

abc: 5.539 5.539 5.539
angles: 60.00 60.00 60.00
Atoms (fractional coordinates):
Mg  0.000  0.000  0.000
Tl  0.250  0.250  0.250
Tl  0.500  0.500  0.500
Br  0.750  0.750  0.750

Calculated values
The value obtained for the energy above the most stable polymorph in this dataset is 108 kJ/mol of formula units. The space group is F-43m (216). Its magnetization is 0.0 μB per cell. Its formation energy without anion corrections is -104 meV per atom.


# 20
This record from Alexandria describes a geometry-optimized Mg2Tl2Br structure. The functional is PBE.

abc: 8.190 8.190 4.060
angles: 90.00 90.00 90.00
Atoms (fractional coordinates):
Mg  0.161  0.339  0.000
Mg  0.339  0.839  0.000
Mg  0.661  0.161  0.000
Mg  0.839  0.661  0.000
Tl  0.141  0.641  0.500
Tl  0.359  0.141  0.500
Tl  0.641  0.859  0.500
Tl  0.859  0.359  0.500
Br  0.000  0.000  0.000
Br  0.500  0.500  0.000

Calculated values
The space group is P4/mbm (127). Its magnetization is 0.0 μB per cell. Its formation energy without anion corrections is -211 meV per atom.


# 21
This record from Alexandria describes a geometry-optimized MgTl2Br structure. The functional is PBE.

abc: 6.653 6.653 6.653
angles: 139.63 139.63 58.42
Atoms (fractional coordinates):
Mg  0.000  0.000  0.000
Tl  0.250  0.750  0.500
Tl  0.500  0.500  0.000
Br  0.750  0.250  0.500

Calculated values
The value obtained for the energy above the most stable polymorph in this dataset is 66 kJ/mol of formula units. The space group is I-4m2 (119). Its magnetization is 0.0 μB per cell. Its formation energy without anion corrections is -211 meV per atom.


# 22
This record from Alexandria describes a geometry-optimized MgTl3Br structure. The functional is PBE.

abc: 6.051 6.051 6.051
angles: 90.00 90.00 90.00
Atoms (fractional coordinates):
Mg  0.000  0.000  0.000
Tl  0.000  0.500  0.500
Tl  0.500  0.000  0.500
Tl  0.500  0.500  0.000
Br  0.500  0.500  0.500

Calculated values
The value obtained for the energy above the most stable polymorph in this dataset is 76 kJ/mol of formula units. The space group is Pm-3m (221). Its magnetization is 0.0 μB per cell. Its formation energy without anion corrections is 139 meV per atom.